1.
Compound: CsBa2MgIn
Source: Alexandria
Functional: PBE-GGA
Structure: relaxed

**Calculated formation energy**: 0.756 eV per atom
**Total magnetization**: 0.00 μB/cell
**Density**: 3.56 Mg/m³
**Total DFT energy (no corrections)**: -1.05 eV/atom

a b c (Å): 6.589 6.589 5.878
angles (deg): 90.00 90.00 90.00
Space group P4/mmm (No. 123)
One atom of each set of equivalent atoms:
Cs 0.000 0.000 0.000 x1
Ba 0.000 0.500 0.000 x2
Mg 0.000 0.000 0.500 x1
In 0.500 0.500 0.500 x1



2.
Compound: CsBaNa2In
Source: Alexandria
Functional: PBE-GGA
Structure: relaxed

**Calculated formation energy**: 0.031 eV per atom
**Total magnetization**: 0.00 μB/cell
**Density**: 2.60 Mg/m³
**Total DFT energy (no corrections)**: -1.60 eV/atom

a b c (Å): 6.427 6.427 6.669
angles (deg): 90.00 90.00 90.00
Space group P4/mmm (No. 123)
One atom of each set of equivalent atoms:
Cs 0.000 0.000 0.000 x1
Ba 0.500 0.500 0.000 x1
Na 0.000 0.500 0.500 x2
In 0.500 0.500 0.500 x1



3.
Compound: CsBaIn2P3O12
Source: Alexandria
Functional: PBE-GGA
Structure: relaxed

**Total magnetization**: 0.00 μB/cell
**Density**: 4.60 Mg/m³
**E_form (uncorrected)**: -2265 meV per atom
**Total DFT energy (no corrections)**: -6.69 eV/atom

a b c (Å): 10.425 10.425 10.425
angles (deg): 90.00 90.00 90.00
Space group P2_13 (No. 198)
One atom of each set of equivalent atoms:
Cs 0.044 0.044 0.044 x4
Ba 0.190 0.310 0.690 x4
In 0.097 0.903 0.403 x4
In 0.171 0.671 0.829 x4
P 0.012 0.215 0.377 x12
O 0.005 0.077 0.732 x12
O 0.011 0.074 0.330 x12
O 0.050 0.797 0.230 x12
O 0.086 0.851 0.762 x12



4.
Compound: CsBa2InS4
Source: Alexandria
Functional: PBE-GGA
Structure: relaxed

**Total magnetization**: 0.00 μB/cell
**Density**: 4.10 Mg/m³
**E_form (uncorrected)**: -1244 meV per atom
**Total DFT energy (no corrections)**: -4.24 eV/atom

a b c (Å): 8.897 9.256 12.791
angles (deg): 90.00 90.00 90.00
Space group Imma (No. 74)
One atom of each set of equivalent atoms:
Cs 0.250 0.250 0.250 x4
Ba 0.000 0.000 0.000 x4
Ba 0.250 0.250 0.750 x4
In 0.000 0.000 0.500 x4
S 0.000 0.017 0.692 x8
S 0.241 0.250 0.992 x8



5.
Compound: CsBaIn2Sb2
Source: Alexandria
Functional: PBE-GGA
Structure: relaxed

**Total magnetization**: 0.00 μB/cell
**Density**: 5.03 Mg/m³
**E_form (uncorrected)**: -417 meV per atom
**Total DFT energy (no corrections)**: -3.17 eV/atom

a b c (Å): 5.2131 5.2131 10.4225
angles (deg): 90.00 90.00 120.00
Space group P-3m1 (No. 164)
One atom of each set of equivalent atoms:
Cs 0.0000 0.0000 0.0000 x1
Ba 0.0000 0.0000 0.5000 x1
In 0.3333 0.6667 0.3154 x2
Sb 0.3333 0.6667 0.7287 x2



6.
Compound: Cs2BaInSb2
Source: Alexandria
Functional: PBE-GGA
Structure: relaxed

**Total magnetization**: 0.00 μB/cell
**Density**: 4.48 Mg/m³
**E_form (uncorrected)**: -521 meV per atom
**Total DFT energy (no corrections)**: -2.96 eV/atom

a b c (Å): 7.921 17.805 8.004
angles (deg): 90.00 90.00 90.00
Space group Ibam (No. 72)
One atom of each set of equivalent atoms:
Cs 0.225 0.180 0.000 x8
Ba 0.000 0.500 0.250 x4
In 0.000 0.000 0.250 x4
Sb 0.221 0.098 0.500 x8



7.
Compound: CsBa2InSe4
Source: Alexandria
Functional: PBE-GGA
Structure: relaxed

**Total magnetization**: 0.00 μB/cell
**Density**: 4.72 Mg/m³
**E_form (uncorrected)**: -1230 meV per atom
**Total DFT energy (no corrections)**: -3.90 eV/atom

a b c (Å): 9.230 9.611 13.284
angles (deg): 90.00 90.00 90.00
Space group Imma (No. 74)
One atom of each set of equivalent atoms:
Cs 0.250 0.250 0.250 x4
Ba 0.000 0.000 0.000 x4
Ba 0.250 0.250 0.750 x4
In 0.000 0.000 0.500 x4
Se 0.000 0.016 0.696 x8
Se 0.243 0.250 0.992 x8



8.
Compound: CsBaIn4Sn6
Source: Alexandria
Functional: PBE-GGA
Structure: relaxed

**Calculated formation energy**: -0.017 eV per atom
**Total magnetization**: 0.00 μB/cell
**Density**: 5.71 Mg/m³
**Total DFT energy (no corrections)**: -3.16 eV/atom

a b c (Å): 6.6137 6.6137 11.0660
angles (deg): 90.00 90.00 120.00
Space group P6/mmm (No. 191)
One atom of each set of equivalent atoms:
Cs 0.0000 0.0000 0.0000 x1
Ba 0.0000 0.0000 0.5000 x1
In 0.3333 0.6667 0.3717 x4
Sn 0.0000 0.5000 0.1586 x6



- Among the records above, which one has the highest total DFT energy (no corrections)?
  CsBa2MgIn



- The lowest total DFT energy (no corrections) belongs to which entry?
  CsBaIn2P3O12



Copy entry 5 word for word.
Compound: CsBaIn2Sb2
Source: Alexandria
Functional: PBE-GGA
Structure: relaxed

**Total magnetization**: 0.00 μB/cell
**Density**: 5.03 Mg/m³
**E_form (uncorrected)**: -417 meV per atom
**Total DFT energy (no corrections)**: -3.17 eV/atom

a b c (Å): 5.2131 5.2131 10.4225
angles (deg): 90.00 90.00 120.00
Space group P-3m1 (No. 164)
One atom of each set of equivalent atoms:
Cs 0.0000 0.0000 0.0000 x1
Ba 0.0000 0.0000 0.5000 x1
In 0.3333 0.6667 0.3154 x2
Sb 0.3333 0.6667 0.7287 x2



- Which of these has the lowest density?
  CsBaNa2In